The following is a DFT calculation (SCAN) of Fe2OsW at its PBEsol-relaxed geometry.

Computed properties:
As for the density of states at the Fermi level: 3.3 states/eV/cell. The calculated formation energy comes out at 7.0 kcal/mol of atoms.

Lattice parameters (Å, degrees): 2.6434 4.4305 4.4305 107.19 90.00 90.00
Positions (direct):
Fe 0.0000 0.5000 0.0000
Fe 0.0000 0.0000 0.5000
Os 0.5000 0.0000 0.0000
W 0.5000 0.5000 0.5000